Entry from the Alexandria database: CrFeAsO6 after structural relaxation (PBE+U).

Properties
The value obtained for the total DFT energy (no corrections) is -117.034 eV/cell.

Unit cell a=4.439 b=4.439 c=8.807 alpha=90.00 beta=90.00 gamma=90.00
Fractional coordinates of all 18 atoms:
Cr  0.000  0.000  0.000
Cr  0.500  0.500  0.500
Fe  0.000  0.000  0.330
Fe  0.500  0.500  0.830
As  0.000  0.000  0.665
As  0.500  0.500  0.165
O  0.192  0.192  0.826
O  0.193  0.193  0.503
O  0.203  0.203  0.163
O  0.297  0.703  0.663
O  0.307  0.693  0.003
O  0.308  0.692  0.326
O  0.692  0.308  0.326
O  0.693  0.307  0.003
O  0.703  0.297  0.663
O  0.797  0.797  0.163
O  0.807  0.807  0.503
O  0.808  0.808  0.826